DFT (GGA+U) results for a geometry-optimized PuCrSiO6 structure.

Output
- Space group: No. 163
- Density: 7.17 g/cm3
- Electronic total energy: -8.620 eV per atom

Structure (CIF):
```
data_PuCrSiO6
_symmetry_space_group_name_H-M 'P 1'
_symmetry_Int_Tables_number 1
_cell_length_a 5.115
_cell_length_b 5.115
_cell_length_c 8.590
_cell_angle_alpha 90.00
_cell_angle_beta 90.00
_cell_angle_gamma 120.00
loop_
_symmetry_equiv_pos_as_xyz
'x,y,z'
loop_
_atom_site_label
_atom_site_fract_x
_atom_site_fract_y
_atom_site_fract_z
_atom_site_occupancy
Pu1 0.333 0.667 0.250 1
Pu2 0.667 0.333 0.750 1
Cr1 0.000 0.000 0.000 1
Cr2 0.000 0.000 0.500 1
Si1 0.667 0.333 0.250 1
Si2 0.333 0.667 0.750 1
O1 0.683 0.636 0.131 1
O2 0.952 0.317 0.131 1
O3 0.317 0.952 0.631 1
O4 0.048 0.683 0.869 1
O5 0.364 0.317 0.369 1
O6 0.952 0.636 0.369 1
O7 0.636 0.952 0.869 1
O8 0.683 0.048 0.369 1
O9 0.048 0.364 0.631 1
O10 0.364 0.048 0.131 1
O11 0.636 0.683 0.631 1
O12 0.317 0.364 0.869 1
```